Computed, not measured: crystalline LaNd4In at its relaxed geometry at the PBE-GGA level of DFT.

energy above the most stable polymorph in this dataset = 0.000 eV per atom
energy of formation = -0.16 eV/atom
D(E_F) = 1.35 states/eV/atom
theoretical density = 6.962 g/cm³

a b c (Å): 5.030 15.660 5.030
angles (deg): 90.00 90.00 90.00
Space group Cmmm (No. 65)
Inequivalent atoms, fractional coordinates:
La 0.000 0.000 0.000 [2 per cell]
Nd 0.000 0.163 0.500 [4 per cell]
Nd 0.000 0.336 0.000 [4 per cell]
In 0.000 0.500 0.500 [2 per cell]